A relaxed Sr3Fe2ClO5 crystal, computed with GGA+U.

Space-group type   P4/mmm, No. 123
Density of states at the Fermi level   0.44 states/eV/atom
E_tot   -65.92 eV/f.u.

Unit cell a=4.0234 b=4.0234 c=11.4271 alpha=90.00 beta=90.00 gamma=90.00
Closest atoms and distances in Å follow each position.
Fractional coordinates of all 11 atoms:
Sr 0.0000 0.0000 0.0000  12 O 2.84-3.06
Sr 0.0000 0.0000 0.3204  4 O 2.42
Sr 0.0000 0.0000 0.6796  4 O 2.42
Fe 0.5000 0.5000 0.1693  5 O 1.93-2.05
Fe 0.5000 0.5000 0.8307  5 O 1.93-2.05
Cl 0.5000 0.5000 0.5000  8 Sr 3.51, 2 Fe 3.78
O 0.0000 0.5000 0.2023  2 Fe 2.05
O 0.0000 0.5000 0.7977  2 Fe 2.05
O 0.5000 0.0000 0.2023  2 Fe 2.05
O 0.5000 0.0000 0.7977  2 Fe 2.05
O 0.5000 0.5000 0.0000  2 Fe 1.93